Density functional theory data (PBE) for La3CdSn3 after structural relaxation.

Cell: 6.5214 9.5866 9.5866 Å, 120.00 90.00 90.00°
Fractional coordinates of all 14 atoms:
Cd (0.2500, 0.6667, 0.3333)
Cd (0.7500, 0.3333, 0.6667)
La (0.2500, 0.0515, 0.6881)
La (0.2500, 0.6365, 0.9485)
La (0.2500, 0.3119, 0.3635)
La (0.7500, 0.9485, 0.3119)
La (0.7500, 0.3635, 0.0515)
La (0.7500, 0.6881, 0.6365)
Sn (0.2500, 0.9537, 0.3065)
Sn (0.2500, 0.3528, 0.0463)
Sn (0.7500, 0.3065, 0.3528)
Sn (0.7500, 0.6472, 0.9537)
Sn (0.7500, 0.0463, 0.6935)
Sn (0.2500, 0.6935, 0.6472)

Output
Electronic total energy: -4.43 eV per atom
DFT formation energy: -0.4687 eV/atom
Size of the total moment: 0.0 μB per cell
Polymorph energy (0 for the lowest one): 238 meV per atom
SG: P6_3/m (176)